# MgHRh, optimized geometry, DFT PBE-GGA
data_MgHRh
_space_group_name_H-M_alt 'P 3 m 1'
_space_group_IT_number 156
_cell_length_a 3.1396
_cell_length_b 3.1396
_cell_length_c 4.1201
_cell_angle_alpha 90.00
_cell_angle_beta 90.00
_cell_angle_gamma 120.00
loop_
_space_group_symop_operation_xyz
'x,y,z'
'-y,x-y,z'
'-x+y,-x,z'
'-y,-x,z'
'-x+y,y,z'
'x,x-y,z'
loop_
_atom_site_label
_atom_site_fract_x
_atom_site_fract_y
_atom_site_fract_z
Mg1 0.0000 0.0000 0.0000
H1 0.3333 0.6667 0.5104
Rh1 0.6667 0.3333 0.5002
# E = -4.464 eV per atom
# Calculated volume = 35 Å³ per cell
# M_tot = 0.000 μB per atom